DFT (GGA-PBE) results for a geometry-optimized DyTh2TcC4 structure.

Values from the calculation:
E_form in eV per atom: 0.008
N(E_F) in states/eV/atom: 0.66
Magnetization in μB/f.u.: 0.00

a = 3.619 Å, b = 12.071 Å, c = 12.712 Å
α = 90.00°, β = 90.00°, γ = 90.00°
Space group Cmcm (No. 63)
Inequivalent atoms, fractional coordinates:
1 Dy 0.000 0.104 0.250 x4
2 Th 0.000 0.367 0.040 x8
3 Tc 0.000 0.164 0.750 x4
4 C 0.000 0.000 0.000 x4
5 C 0.000 0.269 0.636 x8
6 C 0.000 0.419 0.250 x4

DFT (GGA-PBE) results for a geometry-optimized Dy2TlTcC structure.

Values from the calculation:
E_form in eV per atom: -0.322
N(E_F) in states/eV/atom: 0.43
Magnetization in μB/f.u.: 0.00

a = 5.011 Å, b = 5.011 Å, c = 4.029 Å
α = 90.00°, β = 90.00°, γ = 90.00°
Space group P4/mmm (No. 123)
Inequivalent atoms, fractional coordinates:
1 Dy 0.000 0.500 0.000 x2
2 Tl 0.000 0.000 0.500 x1
3 Tc 0.500 0.500 0.500 x1
4 C 0.500 0.500 0.000 x1

DFT (GGA-PBE) results for a geometry-optimized Dy2UTcC4 structure.

Values from the calculation:
E_form in eV per atom: 0.074
N(E_F) in states/eV/atom: 1.02
Magnetization in μB/f.u.: 1.79

a = 3.425 Å, b = 11.785 Å, c = 12.138 Å
α = 90.00°, β = 90.00°, γ = 90.00°
Space group Cmcm (No. 63)
Inequivalent atoms, fractional coordinates:
1 Dy 0.000 0.131 0.041 x8
2 U 0.000 0.402 0.250 x4
3 Tc 0.000 0.337 0.750 x4
4 C 0.000 0.059 0.250 x4
5 C 0.000 0.227 0.636 x8
6 C 0.000 0.500 0.000 x4

DFT (GGA-PBE) results for a geometry-optimized Dy2Zn2Tc2C structure.

Values from the calculation:
E_form in eV per atom: -0.252
N(E_F) in states/eV/atom: 0.38
Magnetization in μB/f.u.: 0.00

a = 10.961 Å, b = 3.429 Å, c = 6.781 Å
α = 90.00°, β = 107.58°, γ = 90.00°
Space group C2/m (No. 12)
Inequivalent atoms, fractional coordinates:
1 Dy 0.008 0.000 0.258 x4
2 Zn 0.192 0.500 0.608 x4
3 Tc 0.189 0.500 0.082 x4
4 C 0.000 0.500 0.000 x2